## VNiRuO6 (PBE with a Hubbard U)

Data for VNiRuO6 after structural relaxation.

Calculated values
The space-group type is P-31c, No. 163. The total energy comes out at -6.652 eV/atom.

a b c (Å): 4.9948 4.9948 8.9468
angles (deg): 90.00 90.00 120.00
Last column: nearest neighbours and their distance in Å.
Sites, in units of the cell vectors:
V (0.6667, 0.3333, 0.7500)  6 O 1.90
O (0.9891, 0.3435, 0.6328)  1 V 1.90, 1 Ru 1.97, 1 Ni 2.11
V (0.3333, 0.6667, 0.2500)  6 O 1.90
O (0.9891, 0.6456, 0.8672)  1 V 1.90, 1 Ru 1.97, 1 Ni 2.11
Ni (0.0000, 0.0000, 0.0000)  6 O 2.11
Ru (0.3333, 0.6667, 0.7500)  6 O 1.97
O (0.3544, 0.0109, 0.6328)  1 V 1.90, 1 Ru 1.97, 1 Ni 2.11
Ni (0.0000, 0.0000, 0.5000)  6 O 2.11
O (0.3435, 0.3544, 0.3672)  1 V 1.90, 1 Ru 1.97, 1 Ni 2.11
O (0.3435, 0.9891, 0.1328)  1 V 1.90, 1 Ru 1.97, 1 Ni 2.11
O (0.0109, 0.3544, 0.1328)  1 V 1.90, 1 Ru 1.97, 1 Ni 2.11
O (0.0109, 0.6565, 0.3672)  1 V 1.90, 1 Ru 1.97, 1 Ni 2.11
O (0.6456, 0.6565, 0.1328)  1 V 1.90, 1 Ru 1.97, 1 Ni 2.11
O (0.3544, 0.3435, 0.8672)  1 V 1.90, 1 Ru 1.97, 1 Ni 2.11
Ru (0.6667, 0.3333, 0.2500)  6 O 1.97
O (0.6565, 0.6456, 0.6328)  1 V 1.90, 1 Ru 1.97, 1 Ni 2.11
O (0.6565, 0.0109, 0.8672)  1 V 1.90, 1 Ru 1.97, 1 Ni 2.11
O (0.6456, 0.9891, 0.3672)  1 V 1.90, 1 Ru 1.97, 1 Ni 2.11